LaAl2AgAu: optimized geometry, PBE.

Calculated values
**N(E_F)**: 5.90 states/eV/cell
**Offset from the most stable computed form**: 0 meV per atom
**DFT formation energy**: -2.67 eV per formula unit

Cell lengths 4.5275, 4.5275, 10.4862 Å; angles 90.00, 90.00, 90.00 degrees
Last column: nearest neighbours and their distance in Å.
Space group I-4m2 (No. 119)
Symmetry-distinct sites (fractional):
La: 0.0000 0.0000 0.0000  8 Al 3.45, 4 Ag 3.46, 4 Au 3.46
Al: 0.0000 0.0000 0.3770  1 Al 2.58, 2 Au 2.63, 2 Ag 2.63
Ag: 0.0000 0.5000 0.7500  4 Al 2.63
Au: 0.0000 0.5000 0.2500  4 Al 2.63



LaAl2AgAu5: optimized geometry, PBE.

Calculated values
**N(E_F)**: 2.72 states/eV/cell
**DFT formation energy**: -3.09 eV per formula unit

Cell lengths 4.9448, 4.9448, 7.7474 Å; angles 90.00, 90.00, 90.00 degrees
Last column: nearest neighbours and their distance in Å.
Space group P4/mmm (No. 123)
Symmetry-distinct sites (fractional):
La: 0.0000 0.0000 0.0000  12 Au 3.18-3.50
Al: 0.5000 0.5000 0.3368  1 Al 2.53, 5 Au 2.55-2.61
Ag: 0.0000 0.0000 0.5000  8 Au 3.10
Au: 0.0000 0.5000 0.2577  2 Al 2.55
Au: 0.5000 0.5000 0.0000  2 Al 2.61



La2Al3AgAu4: optimized geometry, PBE.

Calculated values
**N(E_F)**: 6.14 states/eV/cell
**DFT formation energy**: -6.48 eV per formula unit

Cell lengths 4.5112, 4.5112, 10.6626 Å; angles 90.00, 90.00, 90.00 degrees
Last column: nearest neighbours and their distance in Å.
Space group P-4m2 (No. 115)
Symmetry-distinct sites (fractional):
La: 0.0000 0.5000 0.2488  8 Au 3.39-3.48, 6 Al 3.46-3.50, 2 Ag 3.50
Al: 0.0000 0.5000 0.8777  5 Au 2.50-2.61
Al: 0.5000 0.5000 0.5000  4 Au 2.72
Ag: 0.0000 0.0000 0.5000  4 Au 2.72
Au: 0.0000 0.0000 0.0000  4 Al 2.61
Au: 0.0000 0.5000 0.6434  3 Al 2.50-2.72, 2 Ag 2.72
Au: 0.5000 0.5000 0.0000  4 Al 2.61



La2Al3AgAu12: optimized geometry, PBE.

Calculated values
**N(E_F)**: 29.73 states/eV/cell
**DFT formation energy**: -3.17 eV per formula unit

Cell lengths 8.7391, 8.7391, 19.1912 Å; angles 90.00, 90.00, 120.00 degrees
Last column: nearest neighbours and their distance in Å.
Space group R-3m (No. 166, hexagonal axes)
Symmetry-distinct sites (fractional):
La: 0.0000 0.0000 0.1101  6 Au 3.00-3.07
Al: 0.0000 0.5000 0.0000  6 Au 2.52-2.53
Ag: 0.0000 0.0000 0.5000  6 Au 2.71
Au: 0.0134 0.5067 0.8689  1 Al 2.52, 1 Ag 2.71
Au: 0.0197 0.5099 0.3651  2 Al 2.53



LaAl2AgAu4: optimized geometry, PBE.

Calculated values
**N(E_F)**: 13.09 states/eV/cell
**DFT formation energy**: -3.73 eV per formula unit

Cell lengths 4.4715, 4.4715, 28.1203 Å; angles 90.00, 90.00, 120.00 degrees
Last column: nearest neighbours and their distance in Å.
Space group R-3m (No. 166, hexagonal axes)
Symmetry-distinct sites (fractional):
La: 0.0000 0.0000 0.0000  8 Au 3.15-3.51
Al: 0.0000 0.0000 0.2369  6 Au 2.70-2.74
Ag: 0.0000 0.0000 0.5000  8 Au 2.84-2.88
Au: 0.0000 0.0000 0.1247  3 Al 2.70, 3 Ag 2.84
Au: 0.0000 0.0000 0.3976  3 Al 2.74, 1 Ag 2.88



LaAlAg2Au4: optimized geometry, PBE.

Calculated values
**N(E_F)**: 10.35 states/eV/cell
**DFT formation energy**: -2.92 eV per formula unit

Cell lengths 4.7154, 4.7154, 25.3582 Å; angles 90.00, 90.00, 120.00 degrees
Last column: nearest neighbours and their distance in Å.
Space group R-3m (No. 166, hexagonal axes)
Symmetry-distinct sites (fractional):
La: 0.0000 0.0000 0.0000  8 Au 3.16-3.36, 6 Ag 3.51
Al: 0.0000 0.0000 0.5000  8 Au 2.63-2.86
Ag: 0.0000 0.0000 0.2462  7 Au 2.79-2.96
Au: 0.0000 0.0000 0.1327  3 Al 2.86, 4 Ag 2.88-2.96
Au: 0.0000 0.0000 0.3964  1 Al 2.63, 3 Ag 2.79



LiAl2AgAu4: optimized geometry, PBE.

Calculated values
**N(E_F)**: 7.69 states/eV/cell
**DFT formation energy**: -3.00 eV per formula unit

Cell lengths 4.4822, 4.4822, 22.6593 Å; angles 90.00, 90.00, 120.00 degrees
Last column: nearest neighbours and their distance in Å.
Space group R-3m (No. 166, hexagonal axes)
Symmetry-distinct sites (fractional):
Li: 0.0000 0.0000 0.0000  8 Au 2.64-2.71
Al: 0.0000 0.0000 0.2502  7 Au 2.70-2.80
Ag: 0.0000 0.0000 0.5000  8 Au 2.83-2.96
Au: 0.0000 0.0000 0.1165  1 Li 2.64, 3 Al 2.70, 3 Ag 2.83
Au: 0.0000 0.0000 0.3695  4 Al 2.70-2.80, 3 Li 2.71, 1 Ag 2.96



Li2Al2AgAu5: optimized geometry, PBE.

Calculated values
**N(E_F)**: 7.33 states/eV/cell
**DFT formation energy**: -3.18 eV per formula unit

Cell lengths 10.1191, 10.1191, 3.6069 Å; angles 90.00, 90.00, 90.00 degrees
Last column: nearest neighbours and their distance in Å.
Space group P4/mbm (No. 127)
Symmetry-distinct sites (fractional):
Li: 0.1676 0.3324 0.0000  3 Al 2.90-3.03, 6 Au 3.00-3.18
Al: 0.1296 0.6296 0.0000  6 Au 2.57-2.59
Ag: 0.0000 0.0000 0.0000  8 Au 2.81
Au: 0.0000 0.5000 0.5000  4 Al 2.59
Au: 0.0578 0.7957 0.5000  2 Al 2.57, 2 Ag 2.81